A plane-wave DFT calculation with PBE was carried out for a relaxed structure of TlIr2Pb.

Lattice parameters (Å, degrees): 4.7575 4.7575 4.7575 60.00 60.00 60.00
Last column: nearest neighbours and their distance in Å.
Atoms (fractional coordinates):
Tl 0.0000 0.0000 0.0000  8 Ir 2.91
Ir 0.2500 0.2500 0.2500  4 Tl 2.91, 4 Pb 2.91
Ir 0.7500 0.7500 0.7500  4 Tl 2.91, 4 Pb 2.91
Pb 0.5000 0.5000 0.5000  8 Ir 2.91

Properties
SG: No. 225
ΔH_f (0 K): 0.607 eV/atom
DOS(E_F): 5.65 states/eV/cell
Polymorph energy (0 for the lowest one): 198 meV per atom
Volume: 19.0 Å³ per atom
ρ: 17.4 Mg/m³